1.
Below is crystalline Ti4Pd5 at its relaxed geometry, with properties calculated at the PBE level.

Computed properties:
spin magnetization: 2.29 μB per cell
distance to the lowest polymorph of the same formula: 0.000 eV per atom
formation energy from the elements: -4.55 eV/f.u.
uncorrected energy: -6.90 eV per atom

abc: 7.7577 7.7577 5.4697
angles: 90.00 90.00 120.00
Space group P6_3/mcm (No. 193)
Symmetry-distinct sites (fractional):
1 Ti 0.0000 0.0000 0.0000
2 Ti 0.0000 0.3480 0.2500
3 Pd 0.0000 0.3186 0.7500
4 Pd 0.3333 0.6667 0.0000

=====

2.
Below is crystalline TiPd at its relaxed geometry, with properties calculated at the PBE level.

Computed properties:
spin magnetization: 0.00 μB per cell
formation energy from the elements: -0.34 eV/f.u.
uncorrected energy: -6.72 eV per atom

abc: 9.3041 9.3041 2.7648
angles: 90.00 90.00 120.00
Space group P6_3/m (No. 176)
Symmetry-distinct sites (fractional):
1 Ti 0.1397 0.5247 0.2500
2 Pd 0.0668 0.7654 0.2500

=====

3.
Below is crystalline Ti3Pd at its relaxed geometry, with properties calculated at the PBE level.

Computed properties:
spin magnetization: 0.00 μB per cell
formation energy from the elements: -0.87 eV/f.u.
uncorrected energy: -7.44 eV per atom

abc: 4.029 4.029 4.029
angles: 90.00 90.00 90.00
Space group Pm-3m (No. 221)
Symmetry-distinct sites (fractional):
1 Ti 0.000 0.000 0.500
2 Pd 0.500 0.500 0.500